Entry 1:
{"formula": "Rb12Bi3Cl5", "functional": "PBE", "state": "relaxed", "spacegroup": "Ia-3d", "formation_energy_uncorrected_ev_per_atom": -1.05, "cell": [[-10.234, 10.234, 10.234], [10.234, -10.234, 10.234], [10.234, 10.234, -10.234]], "species": ["Rb", "Rb", "Rb", "Rb", "Rb", "Rb", "Rb", "Rb", "Rb", "Rb", "Rb", "Rb", "Rb", "Rb", "Rb", "Rb", "Rb", "Rb", "Rb", "Rb", "Rb", "Rb", "Rb", "Rb", "Rb", "Rb", "Rb", "Rb", "Rb", "Rb", "Rb", "Rb", "Rb", "Rb", "Rb", "Rb", "Rb", "Rb", "Rb", "Rb", "Rb", "Rb", "Rb", "Rb", "Rb", "Rb", "Rb", "Rb", "Bi", "Bi", "Bi", "Bi", "Bi", "Bi", "Bi", "Bi", "Bi", "Bi", "Bi", "Bi", "Cl", "Cl", "Cl", "Cl", "Cl", "Cl", "Cl", "Cl", "Cl", "Cl", "Cl", "Cl", "Cl", "Cl", "Cl", "Cl", "Cl", "Cl", "Cl", "Cl"], "frac_coords": [[0.040, 0.215, 0.131], [0.040, 0.325, 0.910], [0.084, 0.715, 0.675], [0.084, 0.869, 0.410], [0.090, 0.631, 0.416], [0.090, 0.960, 0.675], [0.131, 0.040, 0.215], [0.131, 0.590, 0.916], [0.175, 0.215, 0.584], [0.175, 0.460, 0.590], [0.215, 0.131, 0.040], [0.215, 0.584, 0.175], [0.285, 0.325, 0.916], [0.285, 0.460, 0.369], [0.325, 0.910, 0.040], [0.325, 0.916, 0.285], [0.369, 0.285, 0.460], [0.369, 0.584, 0.910], [0.410, 0.084, 0.869], [0.410, 0.825, 0.540], [0.416, 0.090, 0.631], [0.416, 0.825, 0.785], [0.460, 0.369, 0.285], [0.460, 0.590, 0.175], [0.540, 0.410, 0.825], [0.540, 0.631, 0.715], [0.584, 0.175, 0.215], [0.584, 0.910, 0.369], [0.590, 0.175, 0.460], [0.590, 0.916, 0.131], [0.631, 0.416, 0.090], [0.631, 0.715, 0.540], [0.675, 0.084, 0.715], [0.675, 0.090, 0.960], [0.715, 0.540, 0.631], [0.715, 0.675, 0.084], [0.785, 0.416, 0.825], [0.785, 0.869, 0.960], [0.825, 0.540, 0.410], [0.825, 0.785, 0.416], [0.869, 0.410, 0.084], [0.869, 0.960, 0.785], [0.910, 0.040, 0.325], [0.910, 0.369, 0.584], [0.916, 0.131, 0.590], [0.916, 0.285, 0.325], [0.960, 0.675, 0.090], [0.960, 0.785, 0.869], [0.125, 0.250, 0.375], [0.125, 0.375, 0.750], [0.250, 0.375, 0.125], [0.250, 0.875, 0.625], [0.375, 0.125, 0.250], [0.375, 0.750, 0.125], [0.625, 0.250, 0.875], [0.625, 0.875, 0.750], [0.750, 0.125, 0.375], [0.750, 0.625, 0.875], [0.875, 0.625, 0.250], [0.875, 0.750, 0.625], [0.000, 0.000, 0.000], [0.000, 0.000, 0.500], [0.000, 0.500, 0.000], [0.000, 0.500, 0.500], [0.125, 0.750, 0.875], [0.125, 0.875, 0.250], [0.250, 0.125, 0.875], [0.250, 0.625, 0.375], [0.375, 0.250, 0.625], [0.375, 0.625, 0.750], [0.500, 0.000, 0.000], [0.500, 0.000, 0.500], [0.500, 0.500, 0.000], [0.500, 0.500, 0.500], [0.625, 0.375, 0.250], [0.625, 0.750, 0.375], [0.750, 0.375, 0.625], [0.750, 0.875, 0.125], [0.875, 0.125, 0.750], [0.875, 0.250, 0.125]]}

=====

Entry 2:
{"formula": "TbDy2In", "functional": "PBE", "state": "relaxed", "spacegroup": "R3m", "polymorph_energy_ev_per_atom": 0.1263, "cell": [[3.591, 0.000, 0.000], [-1.795, 3.110, 0.000], [0.000, 0.000, 32.551]], "species": ["Tb", "Tb", "Tb", "Dy", "Dy", "Dy", "Dy", "Dy", "Dy", "In", "In", "In"], "frac_coords": [[0.000, 0.000, 0.000], [0.333, 0.667, 0.667], [0.667, 0.333, 0.333], [0.000, 0.000, 0.578], [0.000, 0.000, 0.755], [0.333, 0.667, 0.245], [0.333, 0.667, 0.422], [0.667, 0.333, 0.088], [0.667, 0.333, 0.912], [0.000, 0.000, 0.166], [0.333, 0.667, 0.833], [0.667, 0.333, 0.500]]}

=====

Entry 3:
{"formula": "CsCu2Cl6", "functional": "PBE", "state": "relaxed", "spacegroup": "C2/m", "formation_energy_uncorrected_ev_per_atom": -0.73, "polymorph_energy_ev_per_atom": 0.0591, "cell": [[7.752, -2.221, 0.000], [7.752, 2.221, 0.000], [-6.770, 0.000, 7.934]], "species": ["Cs", "Cu", "Cu", "Cl", "Cl", "Cl", "Cl", "Cl", "Cl"], "frac_coords": [[0.000, 0.000, 0.000], [0.149, 0.149, 0.610], [0.851, 0.851, 0.390], [0.002, 0.002, 0.660], [0.288, 0.288, 0.882], [0.311, 0.311, 0.408], [0.689, 0.689, 0.592], [0.712, 0.712, 0.118], [0.998, 0.998, 0.340]]}

=====

Entry 4:
{"formula": "Pm3Ho2Pb6", "functional": "PBE", "state": "relaxed", "spacegroup": "I4/mmm", "dft_energy_ev_per_atom": -4.2688, "cell": [[-2.944, 2.944, 11.231], [2.944, -2.944, 11.231], [2.944, 2.944, -11.231]], "species": ["Pm", "Pm", "Pm", "Ho", "Ho", "Pb", "Pb", "Pb", "Pb", "Pb", "Pb"], "frac_coords": [[0.000, 0.000, 0.000], [0.153, 0.153, 0.000], [0.847, 0.847, 0.000], [0.426, 0.426, 0.000], [0.574, 0.574, 0.000], [0.077, 0.577, 0.500], [0.293, 0.293, 0.000], [0.423, 0.923, 0.500], [0.577, 0.077, 0.500], [0.707, 0.707, 0.000], [0.923, 0.423, 0.500]]}

=====

Entry 5:
{"formula": "SrGa4Ag2Pt", "functional": "PBE", "state": "relaxed", "spacegroup": "R-3m", "dft_energy_ev_per_atom": -3.5121, "cell": [[2.218, 1.281, 9.526], [-2.218, 1.281, 9.526], [0.000, -2.561, 9.526]], "species": ["Sr", "Ga", "Ga", "Ga", "Ga", "Ag", "Ag", "Pt"], "frac_coords": [[0.000, 0.000, 0.000], [0.135, 0.135, 0.135], [0.406, 0.406, 0.406], [0.594, 0.594, 0.594], [0.865, 0.865, 0.865], [0.244, 0.244, 0.244], [0.756, 0.756, 0.756], [0.500, 0.500, 0.500]]}

=====

Entry 6:
{"formula": "Sc5CrRu6", "functional": "PBE", "state": "relaxed", "spacegroup": "C2/m", "dft_energy_ev_per_atom": -8.5212, "cell": [[7.045, -3.184, 0.000], [7.045, 3.184, 0.000], [-1.417, 0.000, 4.249]], "species": ["Sc", "Sc", "Sc", "Sc", "Sc", "Cr", "Ru", "Ru", "Ru", "Ru", "Ru", "Ru"], "frac_coords": [[0.000, 0.000, 0.000], [0.166, 0.166, 0.666], [0.332, 0.332, 0.332], [0.668, 0.668, 0.668], [0.834, 0.834, 0.334], [0.500, 0.500, 0.000], [0.102, 0.582, 0.842], [0.268, 0.732, 0.500], [0.418, 0.898, 0.158], [0.582, 0.102, 0.842], [0.732, 0.268, 0.500], [0.898, 0.418, 0.158]]}

=====

Entry 7:
{"formula": "MgHg2BiCl", "functional": "PBE", "state": "relaxed", "spacegroup": "P4/mmm", "formation_energy_uncorrected_ev_per_atom": 0.08, "cell": [[5.902, 0.000, 0.000], [0.000, 5.902, 0.000], [0.000, 0.000, 4.518]], "species": ["Mg", "Hg", "Hg", "Bi", "Cl"], "frac_coords": [[0.000, 0.000, 0.000], [0.000, 0.500, 0.500], [0.500, 0.000, 0.500], [0.500, 0.500, 0.000], [0.000, 0.000, 0.500]]}

=====

Entry 8:
{"formula": "NdAlSi", "functional": "PBE", "state": "relaxed", "spacegroup": "P4/mmm", "formation_energy_uncorrected_ev_per_atom": -0.07, "cell": [[4.140, 0.000, 0.000], [0.000, 4.140, 0.000], [0.000, 0.000, 4.749]], "species": ["Nd", "Al", "Si"], "frac_coords": [[0.000, 0.000, 0.000], [0.500, 0.500, 0.500], [0.500, 0.500, 0.000]]}

=====

Entry 9:
{"formula": "SrSm3Tl4", "functional": "PBE", "state": "relaxed", "spacegroup": "Pmma", "dft_energy_ev_per_atom": -3.5242, "cell": [[11.109, 0.000, 0.000], [0.000, 7.785, 0.000], [0.000, 0.000, 5.557]], "species": ["Sr", "Sr", "Sm", "Sm", "Sm", "Sm", "Sm", "Sm", "Tl", "Tl", "Tl", "Tl", "Tl", "Tl", "Tl", "Tl"], "frac_coords": [[0.000, 0.000, 0.000], [0.500, 0.000, 0.000], [0.000, 0.500, 0.000], [0.250, 0.000, 0.497], [0.250, 0.500, 0.497], [0.500, 0.500, 0.000], [0.750, 0.000, 0.503], [0.750, 0.500, 0.503], [0.000, 0.257, 0.500], [0.000, 0.743, 0.500], [0.250, 0.257, 0.996], [0.250, 0.743, 0.996], [0.500, 0.257, 0.500], [0.500, 0.743, 0.500], [0.750, 0.257, 0.004], [0.750, 0.743, 0.004]]}

=====

Entry 10:
{"formula": "LaGdOs4", "functional": "PBE", "state": "relaxed", "spacegroup": "F-43m", "dft_energy_ev_per_atom": -10.7656, "cell": [[0.000, 3.843, 3.843], [3.843, 0.000, 3.843], [3.843, 3.843, 0.000]], "species": ["La", "Gd", "Os", "Os", "Os", "Os"], "frac_coords": [[0.000, 0.000, 0.000], [0.250, 0.250, 0.250], [0.126, 0.625, 0.625], [0.625, 0.126, 0.625], [0.625, 0.625, 0.126], [0.625, 0.625, 0.625]]}

=====

For each record above, in turn, the calculated V values are 53.60 30.29 30.36 35.39 20.29 15.89 31.47 27.13 30.04 18.92 Å³/atom.